# 1
CrGePt3 | the Alexandria database | SCAN | single point on PBEsol structure; crystal system = cubic
1.0
-3.576 1.628 -2.282
1.153 -2.518 -3.603
-2.555 -3.414 1.569
Cr Ge Pt
1 1 3
direct
0.000 0.000 0.000 Cr
0.500 0.500 0.500 Ge
0.000 0.500 0.000 Pt
0.000 0.000 0.500 Pt
0.500 0.000 0.000 Pt

***

# 2
Cr2TcGePt | the Alexandria database | SCAN | single point on PBEsol structure; crystal system = tetragonal
1.0
-4.125 -1.507 0.310
1.304 -3.896 -1.580
0.832 -1.418 4.182
Cr Ge Tc Pt
2 1 1 1
direct
0.000 0.500 0.000 Cr
0.500 0.000 0.000 Cr
0.000 0.000 0.000 Ge
0.500 0.500 0.500 Tc
0.000 0.000 0.500 Pt

***

| no. | calculated formation energy (eV/atom) | D(E_F) (states/eV per cell) |
| --- | --- | --- |
| 1 | 0.94 | 3.9 |
| 2 | 0.99 | 3.9 |